[1]
DFT (PBE) results for a relaxed structure of Sm3AsBr2Cl.

a b c (Å): 5.8244 5.8244 5.9045
angles (deg): 90.00 90.00 90.00
Last column: nearest neighbours and their distance in Å.
Sites, in units of the cell vectors:
Sm 0.0000 0.5000 0.0000  2 Cl 2.91, 2 As 2.91, 2 Br 2.95
Sm 0.0000 0.0000 0.5000  4 Br 2.91, 2 As 2.95
Sm 0.5000 0.0000 0.0000  2 As 2.91, 2 Cl 2.91, 2 Br 2.95
As 0.0000 0.0000 0.0000  6 Sm 2.91-2.95
Br 0.5000 0.0000 0.5000  4 Sm 2.91-2.95
Br 0.0000 0.5000 0.5000  4 Sm 2.91-2.95
Cl 0.5000 0.5000 0.0000  4 Sm 2.91

Computed properties:
Spin magnetization, μB/f.u.: 0.017
Energy, eV/cell: -34.56
Symmetry: P4/mmm


[2]
DFT (PBE) results for a relaxed structure of NaSr2Au3.

a b c (Å): 6.1205 6.1205 5.1176
angles (deg): 90.00 90.00 120.00
Last column: nearest neighbours and their distance in Å.
Sites, in units of the cell vectors:
Au 0.5000 0.0000 0.0000  4 Au 3.06, 4 Sr 3.10-3.11
Au 0.5000 0.5000 0.0000  4 Au 3.06, 4 Sr 3.10-3.11
Au 0.0000 0.5000 0.0000  4 Au 3.06, 4 Sr 3.10-3.11
Sr 0.3333 0.6667 0.5011  6 Au 3.10-3.11
Sr 0.6667 0.3333 0.4989  6 Au 3.10-3.11
Na 0.0000 0.0000 0.5000  6 Sr 3.53

Computed properties:
Energy, eV/cell: -15.54
Symmetry: P-3m1


[3]
DFT (PBE) results for a relaxed structure of NiBPb2.

a b c (Å): 4.8402 4.8402 4.8402
angles (deg): 60.00 60.00 60.00
Last column: nearest neighbours and their distance in Å.
Sites, in units of the cell vectors:
Pb 0.7500 0.7500 0.7500  4 Ni 2.96, 4 Pb 2.96
Pb 0.5000 0.5000 0.5000  4 B 2.96, 4 Pb 2.96
Ni 0.0000 0.0000 0.0000  4 Pb 2.96, 4 B 2.96
B 0.2500 0.2500 0.2500  4 Pb 2.96, 4 Ni 2.96

Computed properties:
Spin magnetization, μB/f.u.: 0.008
Energy, eV/cell: -14.70
Symmetry: F-43m


[4]
DFT (PBE) results for a relaxed structure of ZrF2.

a b c (Å): 4.6007 4.6007 4.6007
angles (deg): 60.00 60.00 60.00
Last column: nearest neighbours and their distance in Å.
Sites, in units of the cell vectors:
Zr 0.2500 0.2500 0.2500  12 F 2.70, 4 Zr 2.82
Zr 0.0000 0.0000 0.0000  12 F 2.70, 4 Zr 2.82
F 0.6250 0.6250 0.1250  6 F 2.30
F 0.6250 0.6250 0.6250  6 F 2.30
F 0.6250 0.1250 0.6250  6 F 2.30
F 0.1250 0.6250 0.6250  6 F 2.30

Computed properties:
Spin magnetization, μB/f.u.: 1.008
Energy, eV/cell: -32.32
Symmetry: Fd-3m


[5]
DFT (PBE) results for a relaxed structure of Y2TlPd.

a b c (Å): 5.0770 5.0770 5.0770
angles (deg): 60.00 60.00 60.00
Last column: nearest neighbours and their distance in Å.
Sites, in units of the cell vectors:
Pd 0.2500 0.2500 0.2500  4 Tl 3.11, 4 Y 3.11
Y 0.7500 0.7500 0.7500  4 Tl 3.11, 4 Y 3.11
Y 0.0000 0.0000 0.0000  4 Pd 3.11, 4 Y 3.11
Tl 0.5000 0.5000 0.5000  4 Pd 3.11, 4 Y 3.11

Computed properties:
Spin magnetization, μB/f.u.: 0.966
Energy, eV/cell: -21.46
Symmetry: F-43m


[6]
DFT (PBE) results for a relaxed structure of NaSiPd3.

a b c (Å): 5.6816 5.6816 6.1532
angles (deg): 90.00 90.00 120.00
Last column: nearest neighbours and their distance in Å.
Sites, in units of the cell vectors:
Si 0.6667 0.3333 0.5000  6 Pd 2.37
Si 0.3333 0.6667 0.5000  6 Pd 2.37
Na 0.0000 0.0000 0.0000  2 Na 3.08, 12 Pd 3.15
Na 0.0000 0.0000 0.5000  2 Na 3.08, 6 Si 3.28, 12 Pd 3.32
Pd 0.5000 0.5000 0.7780  2 Si 2.37
Pd 0.5000 0.5000 0.2220  2 Si 2.37
Pd 0.5000 0.0000 0.2220  2 Si 2.37
Pd 0.0000 0.5000 0.2220  2 Si 2.37
Pd 0.5000 0.0000 0.7780  2 Si 2.37
Pd 0.0000 0.5000 0.7780  2 Si 2.37

Computed properties:
Energy, eV/cell: -49.31
Symmetry: P6/mmm


[7]
DFT (PBE) results for a relaxed structure of La2Pa2Se7.

a b c (Å): 9.0540 9.0540 9.0540
angles (deg): 153.37 67.43 119.34
Last column: nearest neighbours and their distance in Å.
Sites, in units of the cell vectors:
Se 0.2043 0.8831 0.3212  1 Pa 2.84, 3 La 2.93-2.99
Se 0.6542 0.2845 0.3696  2 Pa 2.90, 2 La 3.20
Se 0.5119 0.5119 0.0000  3 Pa 2.96-2.97
Se 0.2129 0.1078 0.1052  3 Pa 2.95-3.07, 2 La 3.16, 1 Se 3.17
Se 0.9149 0.2845 0.6304  2 Pa 2.90, 2 La 3.20
Se 0.5618 0.8831 0.6788  1 Pa 2.84, 3 La 2.93-2.99
Se 0.0026 0.1078 0.8948  3 Pa 2.95-3.07, 2 La 3.16, 1 Se 3.17
Pa 0.8362 0.8362 0.0000  7 Se 2.90-2.97
Pa 0.2829 0.7829 0.5000  8 Se 2.84-3.07
La 0.8238 0.5861 0.2377  7 Se 2.93-3.20
La 0.3483 0.5861 0.7623  7 Se 2.93-3.20

Computed properties:
Spin magnetization, μB/f.u.: 1.918
Energy, eV/cell: -71.63
Symmetry: Imm2


[8]
DFT (PBE) results for a relaxed structure of Hf4CuAsC2.

a b c (Å): 3.3520 3.3520 12.9148
angles (deg): 90.00 90.00 120.00
Last column: nearest neighbours and their distance in Å.
Sites, in units of the cell vectors:
Hf 0.0000 0.0000 0.1552  3 C 2.32
Hf 0.3333 0.6667 0.3504  3 C 2.30
Hf 0.0000 0.0000 0.8448  3 C 2.32
Hf 0.3333 0.6667 0.6496  3 C 2.30
C 0.6667 0.3333 0.2548  6 Hf 2.30-2.32
C 0.6667 0.3333 0.7452  6 Hf 2.30-2.32
Cu 0.3333 0.6667 0.0000  6 Hf 2.79
As 0.0000 0.0000 0.5000  6 Hf 2.73

Computed properties:
Spin magnetization, μB/f.u.: 0.004
Energy, eV/cell: -72.25
Symmetry: P-6m2


[9]
DFT (PBE) results for a relaxed structure of Nb4CdSbC2.

a b c (Å): 3.2761 3.2761 13.8682
angles (deg): 90.00 90.00 120.00
Last column: nearest neighbours and their distance in Å.
Sites, in units of the cell vectors:
C 0.3333 0.6667 0.7443  6 Nb 2.19-2.23
C 0.3333 0.6667 0.2557  6 Nb 2.19-2.23
Cd 0.0000 0.0000 0.0000  6 Nb 3.08, 6 Cd 3.28
Nb 0.0000 0.0000 0.6587  3 C 2.23
Nb 0.6667 0.3333 0.8243  3 C 2.19
Nb 0.6667 0.3333 0.1757  3 C 2.19
Nb 0.0000 0.0000 0.3413  3 C 2.23
Sb 0.6667 0.3333 0.5000  6 Nb 2.90

Computed properties:
Spin magnetization, μB/f.u.: 0.012
Energy, eV/cell: -66.57
Symmetry: P-6m2


[10]
DFT (PBE) results for a relaxed structure of Tm3AlCd2CuAu2.

a b c (Å): 3.8879 7.4952 7.4952
angles (deg): 120.46 90.00 90.00
Last column: nearest neighbours and their distance in Å.
Sites, in units of the cell vectors:
Au 0.5000 0.6518 0.3288  1 Al 2.80, 2 Cd 2.94-2.95, 6 Tm 2.95-3.05
Au 0.5000 0.3288 0.6518  1 Al 2.80, 2 Cd 2.94-2.95, 6 Tm 2.95-3.05
Tm 0.0000 0.9970 0.4052  4 Au 2.95-3.05, 1 Cu 2.95, 4 Cd 3.27, 2 Al 3.31
Tm 0.0000 0.5883 0.5883  4 Au 2.95, 2 Al 3.23, 1 Cu 3.27
Tm 0.0000 0.4052 0.9970  4 Au 2.95-3.05, 1 Cu 2.95, 4 Cd 3.27, 2 Al 3.31
Cu 0.0000 0.0276 0.0276  2 Al 2.52, 4 Cd 2.73
Al 0.5000 0.2426 0.2426  2 Cu 2.52, 2 Au 2.80
Cd 0.5000 0.0004 0.7585  2 Cu 2.73, 2 Au 2.94-2.95
Cd 0.5000 0.7585 0.0004  2 Cu 2.73, 2 Au 2.94-2.95

Computed properties:
Spin magnetization, μB/f.u.: 0.016
Energy, eV/cell: -34.74
Symmetry: Amm2


[11]
DFT (PBE) results for a relaxed structure of PrGd.

a b c (Å): 3.6707 3.6707 5.9300
angles (deg): 90.00 90.00 120.00
Last column: nearest neighbours and their distance in Å.
Sites, in units of the cell vectors:
Gd 0.6667 0.3333 0.7500  6 Pr 3.64, 6 Gd 3.67
Pr 0.3333 0.6667 0.2500  6 Gd 3.64, 6 Pr 3.67

Computed properties:
Energy above the lowest structure with this stoichiometry, eV/atom: 0.000
Energy of formation from the pure elements, eV/atom: 0.03
Spin magnetization, μB/f.u.: 0.010
Symmetry: P-6m2


[12]
DFT (PBE) results for a relaxed structure of SrSmBe.

a b c (Å): 3.7624 8.9707 8.9707
angles (deg): 119.90 90.00 90.00
Last column: nearest neighbours and their distance in Å.
Sites, in units of the cell vectors:
Sr 0.0000 0.3329 0.0000  3 Be 2.99
Sr 0.0000 0.0000 0.3329  3 Be 2.99
Sr 0.0000 0.6672 0.6672  3 Be 2.99
Sm 0.5000 0.3344 0.3344  6 Be 3.53-3.55, 6 Sr 3.53-3.54, 2 Sm 3.76
Sm 0.5000 0.0003 0.6662  6 Be 3.53-3.54, 6 Sr 3.53-3.54, 2 Sm 3.76
Sm 0.5000 0.6662 0.0003  6 Be 3.53-3.54, 6 Sr 3.53-3.54, 2 Sm 3.76
Be 0.0000 0.6664 0.3330  3 Sr 2.99
Be 0.0000 0.3330 0.6664  3 Sr 2.99
Be 0.0000 0.9997 0.9997  3 Sr 2.99

Computed properties:
Energy above the lowest structure with this stoichiometry, eV/atom: 0.151
Spin magnetization, μB/f.u.: 0.002
Symmetry: Amm2